Entry 1:
Here is a relaxed structure of YAuCl2 from Alexandria. Energies are from PBE.

Calculated values
relative energy among the computed polymorphs = 1.00 eV/f.u.
uncorrected energy = -18.25 eV/cell
raw formation energy = -1.2032 eV/atom

a b c (Å): 3.6525 3.6525 7.7691
angles (deg): 90.00 90.00 90.00
Last column: nearest neighbours and their distance in Å.
Fractional coordinates of all 4 atoms:
Y1 0.0000 0.0000 0.0000  1 Cl 2.76, 4 Au 2.96
Au1 0.5000 0.5000 0.1868  5 Cl 2.90-3.22, 4 Y 2.96
Cl1 0.0000 0.0000 0.3555  1 Y 2.76, 4 Au 2.90
Cl2 0.5000 0.5000 0.7727  4 Y 3.13, 1 Au 3.22

Entry 2:
Here is a relaxed structure of CsYMnSe3 from Alexandria. Energies are from PBE.

Calculated values
uncorrected energy = -69.73 eV/cell
raw formation energy = -1.3205 eV/atom

a b c (Å): 9.6959 4.2664 10.3372
angles (deg): 90.00 111.43 90.00
Last column: nearest neighbours and their distance in Å.
Fractional coordinates of all 12 atoms:
Cs1 0.2165 0.2500 0.2429  7 Se 3.65-3.86
Cs2 0.7835 0.7500 0.7571  7 Se 3.65-3.86
Y1 0.3333 0.7500 0.8630  6 Se 2.83-3.05
Y2 0.6667 0.2500 0.1370  6 Se 2.83-3.05
Mn1 0.0857 0.2500 0.6114  4 Se 2.46-2.62
Mn2 0.9143 0.7500 0.3886  4 Se 2.46-2.62
Se1 0.1254 0.2500 0.8606  1 Mn 2.46
Se2 0.1962 0.7500 0.5467  3 Mn 2.58-2.62
Se3 0.4758 0.7500 0.1555  3 Y 2.83-2.88
Se4 0.5242 0.2500 0.8445  3 Y 2.83-2.88
Se5 0.8038 0.2500 0.4533  3 Mn 2.58-2.62
Se6 0.8746 0.7500 0.1394  1 Mn 2.46

Entry 3:
Here is a relaxed structure of LaTaW from Alexandria. Energies are from PBE.

Calculated values
relative energy among the computed polymorphs = 4.74 eV/f.u.
uncorrected energy = -94.85 eV/cell

a b c (Å): 6.5186 6.5186 6.5186
angles (deg): 90.00 90.00 90.00
Last column: nearest neighbours and their distance in Å.
Fractional coordinates of all 12 atoms:
La1 0.0000 0.0000 0.0000  4 W 2.82, 4 Ta 2.82
La2 0.0000 0.5000 0.5000  4 W 2.82, 4 Ta 2.82
La3 0.5000 0.0000 0.5000  4 W 2.82, 4 Ta 2.82
La4 0.5000 0.5000 0.0000  4 W 2.82, 4 Ta 2.82
Ta1 0.2500 0.2500 0.7500  4 La 2.82
Ta2 0.2500 0.7500 0.2500  4 La 2.82
Ta3 0.7500 0.2500 0.2500  4 La 2.82
Ta4 0.7500 0.7500 0.7500  4 La 2.82
W1 0.2500 0.2500 0.2500  4 La 2.82
W2 0.2500 0.7500 0.7500  4 La 2.82
W3 0.7500 0.2500 0.7500  4 La 2.82
W4 0.7500 0.7500 0.2500  4 La 2.82

Entry 4:
Here is a relaxed structure of Ac4H2Rh from Alexandria. Energies are from PBE.

Calculated values
uncorrected energy = -64.29 eV/cell

a b c (Å): 5.7046 5.7046 13.2179
angles (deg): 90.00 90.00 90.00
Last column: nearest neighbours and their distance in Å.
Fractional coordinates of all 14 atoms:
Ac1 0.0000 0.0000 0.2369  1 H 2.46
Ac2 0.0000 0.0000 0.7631  1 H 2.46
Ac3 0.0000 0.5000 0.0000  2 Rh 2.85, 4 H 3.03
Ac4 0.0000 0.5000 0.5000  2 Rh 2.85, 4 H 3.03
Ac5 0.5000 0.0000 0.0000  2 Rh 2.85, 4 H 3.03
Ac6 0.5000 0.0000 0.5000  2 Rh 2.85, 4 H 3.03
Ac7 0.5000 0.5000 0.2631  1 H 2.46
Ac8 0.5000 0.5000 0.7369  1 H 2.46
H1 0.0000 0.0000 0.4233  1 H 2.03
H2 0.0000 0.0000 0.5767  1 H 2.03
H3 0.5000 0.5000 0.0767  1 H 2.03
H4 0.5000 0.5000 0.9233  1 H 2.03
Rh1 0.0000 0.0000 0.0000  6 Ac 2.85-3.13
Rh2 0.5000 0.5000 0.5000  6 Ac 2.85-3.13

Entry 5:
Here is a relaxed structure of Ba2Si3Au from Alexandria. Energies are from PBE.

Calculated values
uncorrected energy = -26.02 eV/cell
raw formation energy = -0.4379 eV/atom

a b c (Å): 4.2944 4.2944 10.1011
angles (deg): 90.00 90.00 120.00
Last column: nearest neighbours and their distance in Å.
Fractional coordinates of all 6 atoms:
Ba1 0.0000 0.0000 0.2499  9 Si 3.54, 3 Au 3.54
Ba2 0.0000 0.0000 0.7501  9 Si 3.54, 3 Au 3.54
Si1 0.3333 0.6667 0.0000  3 Si 2.48
Si2 0.6667 0.3333 0.0000  3 Si 2.48
Si3 0.6667 0.3333 0.5000  3 Au 2.48
Au1 0.3333 0.6667 0.5000  3 Si 2.48

Entry 6:
Here is a relaxed structure of TiAg2Pd8 from Alexandria. Energies are from PBE.

Calculated values
uncorrected energy = -55.88 eV/cell

a b c (Å): 6.6693 6.6693 4.3036
angles (deg): 90.00 90.00 105.28
Last column: nearest neighbours and their distance in Å.
Fractional coordinates of all 11 atoms:
Ti1 0.0000 0.0000 0.0000  4 Pd 2.48-2.60
Ag1 0.3758 0.6242 0.5000  10 Pd 2.63-2.94, 1 Ag 2.63
Ag2 0.6242 0.3758 0.5000  10 Pd 2.63-2.94, 1 Ag 2.63
Pd1 0.0374 0.2973 0.5000  2 Ag 2.69-2.94, 7 Pd 2.71-2.88, 2 Ti 2.89
Pd2 0.2337 0.7663 0.0000  1 Ti 2.48, 2 Ag 2.63, 4 Pd 2.77
Pd3 0.2973 0.0374 0.5000  2 Ag 2.69-2.94, 7 Pd 2.71-2.88, 2 Ti 2.89
Pd4 0.3207 0.3207 0.0000  1 Ti 2.60, 5 Pd 2.84-2.90
Pd5 0.6793 0.6793 0.0000  1 Ti 2.60, 5 Pd 2.84-2.90
Pd6 0.7027 0.9626 0.5000  2 Ag 2.69-2.94, 7 Pd 2.71-2.88, 2 Ti 2.89
Pd7 0.7663 0.2337 0.0000  1 Ti 2.48, 2 Ag 2.63, 4 Pd 2.77
Pd8 0.9626 0.7027 0.5000  2 Ag 2.69-2.94, 7 Pd 2.71-2.88, 2 Ti 2.89

Entry 7:
Here is a relaxed structure of CsHg2GeBr from Alexandria. Energies are from PBE.

Calculated values
relative energy among the computed polymorphs = 3.03 eV/f.u.
uncorrected energy = -6.60 eV/cell
raw formation energy = 0.2299 eV/atom

a b c (Å): 7.7001 7.7001 6.6452
angles (deg): 90.00 90.00 90.00
Last column: nearest neighbours and their distance in Å.
Fractional coordinates of all 5 atoms:
Cs1 0.0000 0.0000 0.0000  2 Br 3.32
Hg1 0.0000 0.5000 0.0000  2 Cs 3.85
Hg2 0.5000 0.0000 0.0000  2 Cs 3.85
Ge1 0.5000 0.5000 0.5000  8 Hg 5.09, 4 Br 5.44
Br1 0.0000 0.0000 0.5000  2 Cs 3.32

Entry 8:
Here is a relaxed structure of RbNpZnO4 from Alexandria. Energies are from PBE.

Calculated values
uncorrected energy = -99.03 eV/cell
raw formation energy = -2.0713 eV/atom

a b c (Å): 7.1971 7.1971 7.1971
angles (deg): 128.02 122.16 81.47
Last column: nearest neighbours and their distance in Å.
Fractional coordinates of all 14 atoms:
Rb1 0.4212 0.1712 0.2500  4 O 2.58-2.62
Rb2 0.5788 0.8288 0.7500  4 O 2.58-2.62
Np1 0.0000 0.5000 0.5000  6 O 2.16-2.18
Np2 0.5000 0.5000 0.0000  6 O 2.16-2.18
Zn1 0.0000 0.0000 0.5000  4 O 2.13
Zn2 0.0000 0.5000 0.0000  4 O 2.13
O1 0.1330 0.6956 0.4374  2 Zn 2.13, 1 Np 2.18
O2 0.2418 0.3044 0.9374  2 Zn 2.13, 1 Np 2.18
O3 0.2582 0.3055 0.5473  2 Np 2.16
O4 0.2582 0.7108 0.9527  2 Np 2.16
O5 0.7418 0.2892 0.0473  2 Np 2.16
O6 0.7418 0.6945 0.4527  2 Np 2.16
O7 0.7582 0.6956 0.0626  2 Zn 2.13, 1 Np 2.18
O8 0.8670 0.3044 0.5626  2 Zn 2.13, 1 Np 2.18